Arrangement a

A relaxed Ni2AuCl crystal, computed with PBE.

POSCAR file:
```
Ni2AuCl
1.0
-1.449 2.128 5.582
1.449 -2.128 5.582
1.449 2.128 -5.582
Ni Au Cl
2 1 1
Direct
0.000 0.000 0.000
0.819 0.319 0.500
0.378 0.878 0.500
0.654 0.654 0.000
```

## Properties
Space group = No. 44
Theoretical density = 8.4 g/cm³

***

Arrangement b

A relaxed Ni2AuCl crystal, computed with PBE.

POSCAR file:
```
Ni2AuCl
1.0
0.000 3.104 3.104
3.104 0.000 3.104
3.104 3.104 0.000
Ni Au Cl
2 1 1
Direct
0.250 0.250 0.250
0.750 0.750 0.750
0.000 0.000 0.000
0.500 0.500 0.500
```

## Properties
Space group = No. 225
Theoretical density = 9.7 g/cm³

***

Which of them is most stable? Easy: arrangement a.

***

Arrangement a

A relaxed Ni2AuCl crystal, computed with PBE.

POSCAR file:
```
Ni2AuCl
1.0
-3.166 3.166 3.294
3.166 -3.166 3.294
3.166 3.166 -3.294
Ni Au Cl
4 2 2
Direct
0.082 0.625 0.957
0.375 0.332 0.457
0.668 0.125 0.043
0.875 0.918 0.543
0.250 0.750 0.500
0.500 0.500 0.000
0.000 0.000 0.000
0.750 0.250 0.500
```

## Properties
Space group = No. 122
Theoretical density = 8.8 g/cm³

***

Arrangement b

A relaxed Ni2AuCl crystal, computed with PBE.

POSCAR file:
```
Ni2AuCl
1.0
2.606 -1.508 0.000
2.606 1.508 0.000
-0.075 0.000 8.155
Ni Au Cl
2 1 1
Direct
0.000 0.000 0.000
0.669 0.669 0.201
0.330 0.330 0.753
0.338 0.338 0.383
```

## Properties
Space group = No. 8
Theoretical density = 9.1 g/cm³

***

Which of them is most stable? Easy: arrangement b.

***

Arrangement a

A relaxed NiAuCl crystal, computed with PBE.

POSCAR file:
```
NiAuCl
1.0
0.000 3.042 3.042
3.042 0.000 3.042
3.042 3.042 0.000
Ni Au Cl
1 1 1
Direct
0.000 0.000 0.000
0.250 0.250 0.250
0.750 0.750 0.750
```

## Properties
Space group = No. 216
Theoretical density = 8.6 g/cm³

***

Arrangement b

A relaxed NiAuCl crystal, computed with PBE.

POSCAR file:
```
NiAuCl
1.0
0.000 2.665 6.323
1.600 0.000 6.323
1.600 2.665 0.000
Ni Au Cl
1 1 1
Direct
0.000 0.000 0.000
0.657 0.657 0.343
0.379 0.379 0.621
```

## Properties
Space group = No. 42
Theoretical density = 9.0 g/cm³

***

Which of them is most stable? Easy: arrangement b.

***

Arrangement a

A relaxed Ni3AuCl crystal, computed with PBE.

POSCAR file:
```
Ni3AuCl
1.0
4.766 0.000 0.000
0.000 4.766 0.000
0.000 0.000 4.766
Ni Au Cl
3 1 1
Direct
0.000 0.000 0.500
0.000 0.500 0.000
0.500 0.000 0.000
0.000 0.000 0.000
0.500 0.500 0.500
```

## Properties
Space group = No. 221
Theoretical density = 6.3 g/cm³

***

Arrangement b

A relaxed Ni3AuCl crystal, computed with PBE.

POSCAR file:
```
Ni3AuCl
1.0
4.152 0.000 0.000
0.000 4.152 0.000
0.000 0.000 4.152
Ni Au Cl
3 1 1
Direct
0.000 0.000 0.500
0.000 0.500 0.000
0.500 0.000 0.000
0.500 0.500 0.500
0.000 0.000 0.000
```

## Properties
Space group = No. 221
Theoretical density = 9.5 g/cm³

***

Which of them is most stable? Easy: arrangement b.

***

Arrangement a

A relaxed NpAuCl6 crystal, computed with PBE.

POSCAR file:
```
NpAuCl6
1.0
3.530 -6.090 0.000
3.530 6.090 0.000
-3.430 0.000 6.158
Np Au Cl
1 1 6
Direct
0.000 0.000 0.000
0.500 0.500 0.500
0.103 0.408 0.256
0.205 0.205 0.796
0.408 0.103 0.256
0.592 0.897 0.744
0.795 0.795 0.204
0.897 0.592 0.744
```

## Properties
Space group = No. 12
Theoretical density = 4.1 g/cm³

***

Arrangement b

A relaxed NpAuCl6 crystal, computed with PBE.

POSCAR file:
```
NpAuCl6
1.0
6.745 0.000 0.000
-3.063 6.517 0.000
-3.300 -2.351 6.424
Np Au Cl
1 1 6
Direct
0.000 0.000 0.000
0.500 0.500 0.000
0.111 0.906 0.747
0.173 0.797 0.202
0.473 0.357 0.253
0.527 0.643 0.747
0.827 0.203 0.798
0.889 0.094 0.253
```

## Properties
Space group = No. 2
Theoretical density = 3.8 g/cm³

***

Which of them is most stable? Easy: arrangement b.

***

Arrangement a

A relaxed PAuCl2O crystal, computed with PBE.

POSCAR file:
```
PAuCl2O
1.0
4.876 0.000 0.000
0.000 4.876 0.000
0.000 0.000 4.881
P Au Cl O
1 1 2 1
Direct
0.000 0.000 0.000
0.000 0.000 0.500
0.000 0.500 0.500
0.500 0.000 0.500
0.500 0.500 0.000
```

## Properties
Space group = No. 123
Theoretical density = 4.5 g/cm³

***

Arrangement b

A relaxed PAuCl2O crystal, computed with PBE.

POSCAR file:
```
PAuCl2O
1.0
5.618 0.000 0.000
0.000 5.618 0.000
0.000 0.000 3.293
P Au Cl O
1 1 2 1
Direct
0.000 0.000 0.000
0.500 0.500 0.000
0.000 0.500 0.500
0.500 0.000 0.500
0.000 0.000 0.500
```

## Properties
Space group = No. 123
Theoretical density = 5.0 g/cm³

***

Which of them is most stable? Easy: arrangement b.